Compound: YBeB3
Source: Alexandria
Functional: PBE
Structure: optimized geometry

## Properties
formation enthalpy at 0 K	2.63	eV/atom
space-group type	No. 221
E above lowest polymorph	1937	meV per atom

```
data_YBeB3
_cell_length_a 4.586
_cell_length_b 4.586
_cell_length_c 4.586
_cell_angle_alpha 90.00
_cell_angle_beta 90.00
_cell_angle_gamma 90.00
_symmetry_space_group_name_H-M 'P 1'
_symmetry_Int_Tables_number 1
loop_
_symmetry_equiv_pos_as_xyz
'x,y,z'
loop_
_atom_site_label
_atom_site_type_symbol
_atom_site_fract_x
_atom_site_fract_y
_atom_site_fract_z
Y1 Y 0.000 0.000 0.000
Be1 Be 0.500 0.500 0.500
B1 B 0.000 0.500 0.000
B2 B 0.000 0.000 0.500
B3 B 0.500 0.000 0.000
```

Compound: TaV3Se6
Source: Alexandria
Functional: PBE
Structure: optimized geometry

## Properties
formation energy from raw total energies	-11.58	kcal/mol of atoms
space-group type	No. 11

```
data_TaV3Se6
_cell_length_a 3.470
_cell_length_b 10.579
_cell_length_c 10.796
_cell_angle_alpha 109.96
_cell_angle_beta 90.00
_cell_angle_gamma 90.00
_symmetry_space_group_name_H-M 'P 1'
_symmetry_Int_Tables_number 1
loop_
_symmetry_equiv_pos_as_xyz
'x,y,z'
loop_
_atom_site_label
_atom_site_type_symbol
_atom_site_fract_x
_atom_site_fract_y
_atom_site_fract_z
Ta1 Ta 0.750 0.062 0.696
Ta2 Ta 0.250 0.938 0.304
V1 V 0.750 0.461 0.889
V2 V 0.250 0.539 0.111
V3 V 0.750 0.667 0.506
V4 V 0.250 0.333 0.494
V5 V 0.750 0.113 0.062
V6 V 0.250 0.887 0.938
Se1 Se 0.750 0.491 0.629
Se2 Se 0.250 0.509 0.371
Se3 Se 0.750 0.904 0.107
Se4 Se 0.250 0.096 0.893
Se5 Se 0.750 0.369 0.070
Se6 Se 0.250 0.631 0.930
Se7 Se 0.750 0.726 0.283
Se8 Se 0.250 0.274 0.717
Se9 Se 0.750 0.111 0.467
Se10 Se 0.250 0.889 0.533
Se11 Se 0.750 0.829 0.753
Se12 Se 0.250 0.171 0.247
```

Compound: SmPu2NbN4
Source: Alexandria
Functional: PBE
Structure: optimized geometry

## Properties
formation energy from raw total energies	-24.28	kcal/mol of atoms
space-group type	No. 63

```
data_SmPu2NbN4
_cell_length_a 3.393
_cell_length_b 6.189
_cell_length_c 12.204
_cell_angle_alpha 90.00
_cell_angle_beta 90.00
_cell_angle_gamma 105.91
_symmetry_space_group_name_H-M 'P 1'
_symmetry_Int_Tables_number 1
loop_
_symmetry_equiv_pos_as_xyz
'x,y,z'
loop_
_atom_site_label
_atom_site_type_symbol
_atom_site_fract_x
_atom_site_fract_y
_atom_site_fract_z
Sm1 Sm 0.111 0.222 0.750
Sm2 Sm 0.889 0.778 0.250
Pu1 Pu 0.368 0.737 0.536
Pu2 Pu 0.632 0.263 0.036
Pu3 Pu 0.632 0.263 0.464
Pu4 Pu 0.368 0.737 0.964
Nb1 Nb 0.848 0.696 0.750
Nb2 Nb 0.152 0.304 0.250
N1 N 0.263 0.525 0.126
N2 N 0.737 0.475 0.626
N3 N 0.737 0.475 0.874
N4 N 0.263 0.525 0.374
N5 N 0.000 0.000 0.500
N6 N 0.000 0.000 0.000
N7 N 0.457 0.915 0.750
N8 N 0.543 0.085 0.250
```

Compound: Mg4ZrSc5
Source: Alexandria
Functional: PBE
Structure: optimized geometry

## Properties
formation enthalpy at 0 K	-0.03	eV/atom
space-group type	No. 123

```
data_Mg4ZrSc5
_cell_length_a 3.345
_cell_length_b 3.345
_cell_length_c 20.899
_cell_angle_alpha 90.00
_cell_angle_beta 90.00
_cell_angle_gamma 90.00
_symmetry_space_group_name_H-M 'P 1'
_symmetry_Int_Tables_number 1
loop_
_symmetry_equiv_pos_as_xyz
'x,y,z'
loop_
_atom_site_label
_atom_site_type_symbol
_atom_site_fract_x
_atom_site_fract_y
_atom_site_fract_z
Mg1 Mg 0.000 0.000 0.206
Mg2 Mg 0.000 0.000 0.403
Mg3 Mg 0.000 0.000 0.597
Mg4 Mg 0.000 0.000 0.794
Zr1 Zr 0.000 0.000 0.000
Sc1 Sc 0.500 0.500 0.101
Sc2 Sc 0.500 0.500 0.305
Sc3 Sc 0.500 0.500 0.500
Sc4 Sc 0.500 0.500 0.695
Sc5 Sc 0.500 0.500 0.899
```

Compound: B2AsF
Source: Alexandria
Functional: PBE
Structure: optimized geometry

## Properties
formation energy from raw total energies	22.53	kcal/mol of atoms
space-group type	No. 225
E above lowest polymorph	343	meV per atom

```
data_B2AsF
_cell_length_a 3.900
_cell_length_b 3.900
_cell_length_c 3.900
_cell_angle_alpha 60.00
_cell_angle_beta 60.00
_cell_angle_gamma 60.00
_symmetry_space_group_name_H-M 'P 1'
_symmetry_Int_Tables_number 1
loop_
_symmetry_equiv_pos_as_xyz
'x,y,z'
loop_
_atom_site_label
_atom_site_type_symbol
_atom_site_fract_x
_atom_site_fract_y
_atom_site_fract_z
As1 As 0.500 0.500 0.500
B1 B 0.250 0.250 0.250
B2 B 0.750 0.750 0.750
F1 F 0.000 0.000 0.000
```

Compound: Nd2Y2Te3
Source: Alexandria
Functional: PBE
Structure: optimized geometry

## Properties
formation energy from raw total energies	-26.67	kcal/mol of atoms
space-group type	No. 199

```
data_Nd2Y2Te3
_cell_length_a 8.050
_cell_length_b 8.050
_cell_length_c 8.050
_cell_angle_alpha 109.47
_cell_angle_beta 109.47
_cell_angle_gamma 109.47
_symmetry_space_group_name_H-M 'P 1'
_symmetry_Int_Tables_number 1
loop_
_symmetry_equiv_pos_as_xyz
'x,y,z'
loop_
_atom_site_label
_atom_site_type_symbol
_atom_site_fract_x
_atom_site_fract_y
_atom_site_fract_z
Nd1 Nd 0.500 0.350 0.500
Nd2 Nd 0.000 0.000 0.350
Nd3 Nd 0.650 0.150 0.150
Nd4 Nd 0.850 0.500 0.000
Y1 Y 0.000 0.000 0.861
Y2 Y 0.500 0.861 0.500
Y3 Y 0.139 0.639 0.639
Y4 Y 0.361 0.500 0.000
Te1 Te 0.750 0.632 0.382
Te2 Te 0.250 0.868 0.118
Te3 Te 0.618 0.750 0.868
Te4 Te 0.882 0.250 0.632
Te5 Te 0.368 0.118 0.750
Te6 Te 0.132 0.382 0.250
```